[1]
An optimized crystal structure of Cu2SiP. Source: Alexandria, functional GGA-PBE.

a b c (Å): 2.7787 3.9045 4.8960
angles (deg): 90.00 90.00 90.00
Last column: nearest neighbours and their distance in Å.
Fractional coordinates of all 4 atoms:
Cu  0.0000  0.0000  0.9880  2 P 2.42-2.48, 4 Si 2.63
Cu  0.5000  0.5000  0.2632  2 Si 2.43-2.47, 4 P 2.62
P  0.0000  0.0000  0.4812  6 Cu 2.42-2.62
Si  0.5000  0.5000  0.7676  6 Cu 2.43-2.63

## Properties
DOS(E_F) = 1.17 states/eV per cell
Energy relative to the elements, uncorrected = 0.242 eV/atom


[2]
An optimized crystal structure of FeSi5. Source: Alexandria, functional GGA-PBE.

a b c (Å): 7.0323 7.0323 3.5864
angles (deg): 90.00 90.00 151.18
Last column: nearest neighbours and their distance in Å.
Fractional coordinates of all 6 atoms:
Fe  0.0113  0.9887  0.0000  8 Si 2.33-2.57
Si  0.3518  0.6482  0.0000  2 Si 2.41
Si  0.6259  0.3741  0.0000  2 Fe 2.35, 6 Si 2.50-2.51
Si  0.4700  0.5300  0.5000  4 Si 2.41-2.70, 4 Fe 2.57
Si  0.7539  0.2461  0.5000  4 Si 2.50-2.52
Si  0.1205  0.8795  0.5000  2 Fe 2.33, 6 Si 2.51-2.52

## Properties
Energy above the most stable polymorph in this dataset = 21 meV/atom
DOS(E_F) = 1.45 states/eV per cell
Energy relative to the elements, uncorrected = 0.220 eV/atom


[3]
An optimized crystal structure of CeGe3Pd. Source: Alexandria, functional GGA-PBE.

a b c (Å): 5.9235 5.7222 6.0570
angles (deg): 90.00 90.00 90.00
Last column: nearest neighbours and their distance in Å.
Fractional coordinates of all 10 atoms:
Ce  0.4203  0.3212  0.7008  7 Ge 2.93-3.17, 1 Pd 3.12
Ce  0.9202  0.0315  0.2007  7 Ge 2.93-3.17, 1 Pd 3.12
Ge  0.3656  0.2526  0.2007  1 Pd 2.46, 2 Ge 2.68
Ge  0.4674  0.8691  0.9678  2 Pd 2.49-2.53, 1 Ge 2.68
Ge  0.9677  0.4836  0.4677  2 Pd 2.49-2.53, 1 Ge 2.68
Ge  0.8657  0.1002  0.7007  1 Pd 2.46, 2 Ge 2.68
Ge  0.9677  0.4836  0.9339  2 Pd 2.49-2.53, 1 Ge 2.68
Ge  0.4674  0.8691  0.4337  2 Pd 2.49-2.53, 1 Ge 2.68
Pd  0.1571  0.7933  0.7008  5 Ge 2.46-2.53
Pd  0.6571  0.5595  0.2008  5 Ge 2.46-2.53

## Properties
DOS(E_F) = 9.57 states/eV per cell
Calculated total energy = -5.56 eV/atom


[4]
An optimized crystal structure of SrPAu3. Source: Alexandria, functional GGA-PBE.

a b c (Å): 5.8224 5.8224 5.8224
angles (deg): 90.00 90.00 90.00
Last column: nearest neighbours and their distance in Å.
Fractional coordinates of all 5 atoms:
Sr  0.0000  0.0000  0.0000  6 Au 2.91
Au  0.0000  0.5000  0.0000  2 Sr 2.91
Au  0.0000  0.0000  0.5000  2 Sr 2.91
Au  0.5000  0.0000  0.0000  2 Sr 2.91
P  0.5000  0.5000  0.5000  12 Au 4.12

## Properties
Energy above the most stable polymorph in this dataset = 1467 meV/atom
DOS(E_F) = 6.11 states/eV per cell